1.
VASP calculation (PBE) on a relaxed Pm3Ni4P4 crystal.

Output
Mass density ... 7.324 g/cm3
Raw total energy ... -6.40 eV/atom
SG ... Immm (71)

Lattice parameters (Å, degrees): 3.9207 3.9918 11.8324 80.29 80.47 89.98
Element x y z (fractional)
P 0.8049 0.3047 0.3906
P 0.5516 0.5519 0.8964
P 0.4484 0.4481 0.1036
P 0.1951 0.6953 0.6094
Pm 0.3504 0.8503 0.2994
Pm 0.0000 0.0000 0.0000
Pm 0.6496 0.1497 0.7006
Ni 0.9042 0.4041 0.1923
Ni 0.7499 0.7505 0.4994
Ni 0.0958 0.5959 0.8077
Ni 0.2501 0.2495 0.5006

2.
VASP calculation (PBE) on a relaxed TmNpRe crystal.

Output
Mass density ... 13.317 g/cm3
Raw total energy ... -9.43 eV/atom
Excess energy over the best structure of this formula in the dataset ... 0.000 eV per atom
SG ... F-43m (216)
ΔE_f ... 0.46 eV/atom

Lattice parameters (Å, degrees): 4.7090 4.7090 4.7090 60.00 60.00 60.00
Site moments in Bohr magnetons follow the coordinates.
Element x y z (fractional)
Np 0.0000 0.0000 0.0000  3.43
Re 0.2500 0.2500 0.2500  -0.54
Tm 0.5000 0.5000 0.5000  0.04

3.
VASP calculation (PBE) on a relaxed SiTcNiW crystal.

Output
Mass density ... 11.321 g/cm3
Raw total energy ... -8.62 eV/atom
SG ... F-43m (216)

Lattice parameters (Å, degrees): 4.2444 4.2444 4.2444 60.00 60.00 60.00
Element x y z (fractional)
Si 0.0000 0.0000 0.0000
Tc 0.2500 0.2500 0.2500
Ni 0.7500 0.7500 0.7500
W 0.5000 0.5000 0.5000

4.
VASP calculation (PBE) on a relaxed DyTmGe2Au2 crystal.

Output
Mass density ... 11.546 g/cm3
Raw total energy ... -4.96 eV/atom
SG ... P3m1 (156)

Lattice parameters (Å, degrees): 4.4637 4.4637 7.2565 90.00 90.00 120.00
Element x y z (fractional)
Au 0.3333 0.6667 0.7903
Au 0.6667 0.3333 0.2980
Ge 0.6667 0.3333 0.7053
Ge 0.3333 0.6667 0.2083
Dy 0.0000 0.0000 0.0001
Tm 0.0000 0.0000 0.4994

5.
VASP calculation (PBE) on a relaxed AcYU crystal.

Output
Mass density ... 8.105 g/cm3
Raw total energy ... -6.01 eV/atom
Excess energy over the best structure of this formula in the dataset ... 0.000 eV per atom
SG ... F-43m (216)
ΔE_f ... 1.28 eV/atom

Lattice parameters (Å, degrees): 5.4344 5.4344 5.4344 60.00 60.00 60.00
Element x y z (fractional)
U 0.0000 0.0000 0.0000
Ac 0.2500 0.2500 0.2500
Y 0.7500 0.7500 0.7500

6.
VASP calculation (PBE) on a relaxed InTe2Pd2 crystal.

Output
Mass density ... 7.771 g/cm3
Raw total energy ... -4.10 eV/atom
SG ... I4/mmm (139)

Lattice parameters (Å, degrees): 7.1767 7.1767 7.1767 144.41 144.41 51.22
Element x y z (fractional)
In 0.0000 0.0000 0.0000
Pd 0.2500 0.7500 0.5000
Pd 0.7500 0.2500 0.5000
Te 0.6300 0.6300 0.0000
Te 0.3700 0.3700 0.0000